Material: TaReHg2
Method: DFT, PBE-GGA
State: optimized geometry

## Properties
- energy of formation from the pure elements (kJ/mol of atoms) = 114
- energy above the most stable polymorph in this dataset (meV per atom) = 832.8
- space group = I-42d

Unit cell a=7.643 b=7.643 c=6.074 alpha=51.02 beta=51.02 gamma=90.00
Last column: magnetic moment on the atom in μB.
Fractional positions:
Re1 0.000 0.000 0.000  0.91
Ta1 0.500 0.500 0.000  -0.07
Re2 0.750 0.250 0.500  0.91
Hg1 0.375 0.368 0.750  0.00
Hg2 0.632 0.125 0.250  0.00
Hg3 0.118 0.625 0.250  0.00
Hg4 0.875 0.882 0.750  0.00
Ta2 0.250 0.750 0.500  -0.06